Version a
Density functional theory data (SCAN) for ZrCIO2 at its PBEsol-relaxed geometry.

Lattice parameters (Å, degrees): 3.956 3.956 6.274 90.00 90.00 90.00
Fractional coordinates of all 5 atoms:
Zr: 0.000 0.000 0.000
C: 0.500 0.500 0.500
I: 0.000 0.000 0.500
O: 0.000 0.500 0.000
O: 0.500 0.000 0.000



Version b
Density functional theory data (SCAN) for ZrCIO2 at its PBEsol-relaxed geometry.

Lattice parameters (Å, degrees): 3.991 3.991 4.195 90.00 90.00 90.00
Fractional coordinates of all 5 atoms:
Zr: 0.000 0.000 0.000
C: 0.500 0.500 0.500
I: 0.500 0.500 0.000
O: 0.000 0.500 0.500
O: 0.500 0.000 0.500



Calculated relative energies: version a 0.0; version b 115.8, given in kJ/mol of atoms



Version a
Density functional theory data (SCAN) for RbC3I at its PBEsol-relaxed geometry.

Lattice parameters (Å, degrees): 5.212 5.212 5.212 90.00 90.00 90.00
Fractional coordinates of all 5 atoms:
Rb: 0.000 0.000 0.000
C: 0.000 0.000 0.500
C: 0.000 0.500 0.000
C: 0.500 0.000 0.000
I: 0.500 0.500 0.500



Version b
Density functional theory data (SCAN) for RbC3I at its PBEsol-relaxed geometry.

Lattice parameters (Å, degrees): 4.404 4.404 4.404 90.00 90.00 90.00
Fractional coordinates of all 5 atoms:
Rb: 0.000 0.000 0.000
C: 0.000 0.500 0.500
C: 0.500 0.000 0.500
C: 0.500 0.500 0.000
I: 0.500 0.500 0.500



Calculated relative energies: version a 79.3; version b 0.0, given in kJ/mol of atoms



Version a
Density functional theory data (SCAN) for TlC3I at its PBEsol-relaxed geometry.

Lattice parameters (Å, degrees): 4.265 4.265 4.265 90.00 90.00 90.00
Fractional coordinates of all 5 atoms:
Tl: 0.000 0.000 0.000
C: 0.000 0.500 0.500
C: 0.500 0.000 0.500
C: 0.500 0.500 0.000
I: 0.500 0.500 0.500



Version b
Density functional theory data (SCAN) for TlC3I at its PBEsol-relaxed geometry.

Lattice parameters (Å, degrees): 4.471 4.471 4.471 90.00 90.00 90.00
Fractional coordinates of all 5 atoms:
Tl: 0.000 0.000 0.000
C: 0.000 0.000 0.500
C: 0.000 0.500 0.000
C: 0.500 0.000 0.000
I: 0.500 0.500 0.500



Calculated relative energies: version a 0.0; version b 11.4, given in kJ/mol of atoms



Version a
Density functional theory data (SCAN) for In3RuC at its PBEsol-relaxed geometry.

Lattice parameters (Å, degrees): 4.476 4.476 4.476 90.00 90.00 90.00
Fractional coordinates of all 5 atoms:
In: 0.000 0.000 0.500
In: 0.000 0.500 0.000
In: 0.500 0.000 0.000
Ru: 0.500 0.500 0.500
C: 0.000 0.000 0.000



Version b
Density functional theory data (SCAN) for In3RuC at its PBEsol-relaxed geometry.

Lattice parameters (Å, degrees): 5.048 5.048 5.048 90.00 90.00 90.00
Fractional coordinates of all 5 atoms:
In: 0.000 0.000 0.500
In: 0.000 0.500 0.000
In: 0.500 0.000 0.000
Ru: 0.000 0.000 0.000
C: 0.500 0.500 0.500



Calculated relative energies: version a 0.0; version b 6.5, given in kJ/mol of atoms



Version a
Density functional theory data (SCAN) for Sc2InC at its PBEsol-relaxed geometry.

Lattice parameters (Å, degrees): 3.315 3.315 15.203 90.00 90.00 120.00
Fractional coordinates of all 8 atoms:
Sc: 0.333 0.667 0.080
Sc: 0.333 0.667 0.420
Sc: 0.667 0.333 0.580
Sc: 0.667 0.333 0.920
In: 0.333 0.667 0.750
In: 0.667 0.333 0.250
C: 0.000 0.000 0.000
C: 0.000 0.000 0.500



Version b
Density functional theory data (SCAN) for Sc2InC at its PBEsol-relaxed geometry.

Lattice parameters (Å, degrees): 9.149 9.149 9.149 20.95 20.95 20.95
Fractional coordinates of all 4 atoms:
Sc: 0.078 0.078 0.078
Sc: 0.922 0.922 0.922
In: 0.500 0.500 0.500
C: 0.000 0.000 0.000



Calculated relative energies: version a 0.0; version b 137.7, given in kJ/mol of atoms



Version a
Density functional theory data (SCAN) for SrInC3 at its PBEsol-relaxed geometry.

Lattice parameters (Å, degrees): 4.598 4.598 4.598 90.00 90.00 90.00
Fractional coordinates of all 5 atoms:
Sr: 0.000 0.000 0.000
In: 0.500 0.500 0.500
C: 0.000 0.000 0.500
C: 0.000 0.500 0.000
C: 0.500 0.000 0.000



Version b
Density functional theory data (SCAN) for SrInC3 at its PBEsol-relaxed geometry.

Lattice parameters (Å, degrees): 4.371 4.371 4.371 90.00 90.00 90.00
Fractional coordinates of all 5 atoms:
Sr: 0.000 0.000 0.000
In: 0.500 0.500 0.500
C: 0.000 0.500 0.500
C: 0.500 0.000 0.500
C: 0.500 0.500 0.000



Calculated relative energies: version a 117.4; version b 0.0, given in kJ/mol of atoms



Version a
Density functional theory data (SCAN) for IrC5 at its PBEsol-relaxed geometry.

Lattice parameters (Å, degrees): 3.160 3.160 5.248 90.00 90.00 90.00
Fractional coordinates of all 6 atoms:
Ir: 0.000 0.000 0.000
C: 0.000 0.000 0.376
C: 0.000 0.000 0.624
C: 0.500 0.500 0.237
C: 0.500 0.500 0.500
C: 0.500 0.500 0.763



Version b
Density functional theory data (SCAN) for IrC5 at its PBEsol-relaxed geometry.

Lattice parameters (Å, degrees): 3.671 3.671 5.477 91.81 91.81 42.97
Fractional coordinates of all 6 atoms:
Ir: 0.000 0.000 0.000
C: 0.270 0.270 0.855
C: 0.407 0.407 0.691
C: 0.420 0.420 0.425
C: 0.605 0.605 0.265
C: 0.820 0.820 0.317



Calculated relative energies: version a 149.7; version b 0.0, given in kJ/mol of atoms



Version a
Density functional theory data (SCAN) for Ir4C3 at its PBEsol-relaxed geometry.

Lattice parameters (Å, degrees): 4.268 4.268 4.268 90.00 90.00 90.00
Fractional coordinates of all 7 atoms:
Ir: 0.000 0.000 0.000
Ir: 0.000 0.500 0.500
Ir: 0.500 0.000 0.500
Ir: 0.500 0.500 0.000
C: 0.000 0.000 0.500
C: 0.000 0.500 0.000
C: 0.500 0.000 0.000



Version b
Density functional theory data (SCAN) for Ir4C3 at its PBEsol-relaxed geometry.

Lattice parameters (Å, degrees): 4.026 4.026 5.862 90.00 90.00 120.00
Fractional coordinates of all 7 atoms:
Ir: 0.000 0.000 0.223
Ir: 0.000 0.000 0.777
Ir: 0.333 0.667 0.500
Ir: 0.667 0.333 0.500
C: 0.000 0.500 0.000
C: 0.500 0.000 0.000
C: 0.500 0.500 0.000



Calculated relative energies: version a 0.0; version b 90.5, given in kJ/mol of atoms



Version a
Density functional theory data (SCAN) for Ir3C at its PBEsol-relaxed geometry.

Lattice parameters (Å, degrees): 3.883 2.720 5.041 90.00 107.96 90.00
Fractional coordinates of all 4 atoms:
Ir: 0.000 0.000 0.000
Ir: 0.376 0.500 0.718
Ir: 0.624 0.500 0.282
C: 0.000 0.000 0.500



Version b
Density functional theory data (SCAN) for Ir3C at its PBEsol-relaxed geometry.

Lattice parameters (Å, degrees): 7.957 7.957 7.957 152.02 152.02 39.98
Fractional coordinates of all 8 atoms:
Ir: 0.000 0.500 0.500
Ir: 0.135 0.135 0.000
Ir: 0.250 0.750 0.500
Ir: 0.500 0.000 0.500
Ir: 0.750 0.250 0.500
Ir: 0.865 0.865 0.000
C: 0.446 0.446 0.000
C: 0.554 0.554 0.000



Calculated relative energies: version a 0.0; version b 52.1, given in kJ/mol of atoms



Version a
Density functional theory data (SCAN) for KRuC3 at its PBEsol-relaxed geometry.

Lattice parameters (Å, degrees): 3.926 3.926 3.926 90.00 90.00 90.00
Fractional coordinates of all 5 atoms:
K: 0.000 0.000 0.000
Ru: 0.500 0.500 0.500
C: 0.000 0.000 0.500
C: 0.000 0.500 0.000
C: 0.500 0.000 0.000



Version b
Density functional theory data (SCAN) for KRuC3 at its PBEsol-relaxed geometry.

Lattice parameters (Å, degrees): 4.010 4.010 4.010 90.00 90.00 90.00
Fractional coordinates of all 5 atoms:
K: 0.000 0.000 0.000
Ru: 0.500 0.500 0.500
C: 0.000 0.500 0.500
C: 0.500 0.000 0.500
C: 0.500 0.500 0.000



Calculated relative energies: version a 297.7; version b 0.0, given in kJ/mol of atoms



Version a
Density functional theory data (SCAN) for LaMoC2 at its PBEsol-relaxed geometry.

Lattice parameters (Å, degrees): 6.275 6.275 6.275 131.31 131.31 71.32
Fractional coordinates of all 8 atoms:
La: 0.000 0.000 0.000
La: 0.750 0.250 0.500
Mo: 0.250 0.750 0.500
Mo: 0.500 0.500 0.000
C: 0.224 0.625 0.099
C: 0.375 0.474 0.599
C: 0.526 0.125 0.901
C: 0.875 0.776 0.401



Version b
Density functional theory data (SCAN) for LaMoC2 at its PBEsol-relaxed geometry.

Lattice parameters (Å, degrees): 4.187 4.187 4.187 60.00 60.00 60.00
Fractional coordinates of all 4 atoms:
La: 0.000 0.000 0.000
Mo: 0.500 0.500 0.500
C: 0.250 0.250 0.250
C: 0.750 0.750 0.750



Calculated relative energies: version a 0.0; version b 92.0, given in kJ/mol of atoms



Version a
Density functional theory data (SCAN) for LaNdC4 at its PBEsol-relaxed geometry.

Lattice parameters (Å, degrees): 3.838 3.838 6.475 90.00 90.00 90.00
Fractional coordinates of all 6 atoms:
La: 0.000 0.000 0.000
Nd: 0.500 0.500 0.500
C: 0.000 0.000 0.400
C: 0.000 0.000 0.600
C: 0.500 0.500 0.100
C: 0.500 0.500 0.900



Version b
Density functional theory data (SCAN) for LaNdC4 at its PBEsol-relaxed geometry.

Lattice parameters (Å, degrees): 4.243 4.243 7.477 115.35 115.35 53.73
Fractional coordinates of all 6 atoms:
La: 0.000 0.000 0.000
Nd: 0.500 0.500 0.500
C: 0.196 0.196 0.792
C: 0.298 0.298 0.694
C: 0.702 0.702 0.306
C: 0.804 0.804 0.208



Calculated relative energies: version a 0.6; version b 0.0, given in kJ/mol of atoms